A geometry-optimized LaPr3Dy2Y6 structure. Source: the Alexandria database, functional PBE-GGA.

a = 6.2756 Å, b = 10.8681 Å, c = 11.9272 Å
α = 90.00°, β = 100.07°, γ = 90.00°
With the nearest neighbours (Å) after each atom.
Space group C2/m (No. 12)
Unique sites:
La: 0.0000 0.0000 0.0000  6 Y 3.59, 6 Dy 3.62
Pr: 0.0000 0.1671 0.5000  6 Y 3.62, 6 Pr 3.62-3.63
Pr: 0.0000 0.5000 0.5000  6 Y 3.61-3.62, 6 Pr 3.62-3.63
Dy: 0.0000 0.3334 0.0000  6 Y 3.58-3.59, 3 Dy 3.62, 3 La 3.62
Y: 0.2482 0.5000 0.2484  2 Dy 3.59, 1 La 3.59, 3 Pr 3.61-3.62, 6 Y 3.62-3.64
Y: 0.2500 0.1672 0.2482  2 Dy 3.58-3.59, 1 La 3.59, 3 Pr 3.62, 6 Y 3.62-3.64

## Properties
Total energy in eV/atom: -5.59
Total moment in μB per cell: 0.0
DFT formation energy in kcal/mol of atoms: 0.36